Record 1
! KTaCl4, relaxed, DFT PBE; values from VASP
! - Distance to the lowest polymorph of the same formula: 0 kJ/mol of formula units
! - Space group: No. 15
! - ρ: 3.19 g cm⁻³
&SYSTEM
  ibrav = 0, nat = 12, ntyp = 3
/
ATOMIC_SPECIES
K 39.10 K.upf
Cl 35.45 Cl.upf
Ta 180.95 Ta.upf
CELL_PARAMETERS angstrom
6.374 -0.756 -1.618
-3.626 7.793 -3.788
0.371 -0.132 7.998
ATOMIC_POSITIONS crystal
K 0.612 0.362 0.725
K 0.388 0.638 0.275
Cl 0.602 0.719 0.993
Cl 0.855 0.853 0.710
Cl 0.355 0.857 0.710
Cl 0.645 0.143 0.290
Cl 0.891 0.274 0.993
Cl 0.109 0.726 0.007
Cl 0.398 0.281 0.007
Cl 0.145 0.147 0.290
Ta 0.250 0.000 0.001
Ta 0.750 0.000 0.999

***

Record 2
! AcNdY2Se4, relaxed, DFT PBE; values from VASP
! - Space group: No. 10
! - Raw total energy: -6.27 eV/atom
! - ρ: 6.76 g cm⁻³
&SYSTEM
  ibrav = 0, nat = 8, ntyp = 4
/
ATOMIC_SPECIES
Se 78.96 Se.upf
Ac 227.00 Ac.upf
Y 88.91 Y.upf
Nd 144.24 Nd.upf
CELL_PARAMETERS angstrom
-1.518 -1.839 3.376
1.554 -6.744 -2.974
6.662 -1.879 1.971
ATOMIC_POSITIONS crystal
Se 0.000 0.774 0.736
Se 0.000 0.226 0.264
Se 0.500 0.769 0.249
Se 0.500 0.231 0.751
Ac 0.500 0.500 0.000
Y 0.500 0.000 0.500
Y 0.000 0.000 0.000
Nd 0.000 0.500 0.500

***

Record 3
! GdPuFeRh, relaxed, DFT PBE; values from VASP
! - Space group: No. 216
! - ΔE_f: -0.229 eV/atom
! - ρ: 11.73 g cm⁻³
&SYSTEM
  ibrav = 0, nat = 4, ntyp = 4
/
ATOMIC_SPECIES
Pu 244.00 Pu.upf
Fe 55.84 Fe.upf
Gd 157.25 Gd.upf
Rh 102.91 Rh.upf
CELL_PARAMETERS angstrom
4.821 0.000 0.000
2.411 4.175 0.000
2.411 1.392 3.937
ATOMIC_POSITIONS crystal
Pu 0.250 0.250 0.250
Fe 0.500 0.500 0.500
Gd 0.750 0.750 0.750
Rh 0.000 0.000 0.000

***

Record 4
! Nd5Tl2Pt, relaxed, DFT PBE; values from VASP
! - Distance to the lowest polymorph of the same formula: 123 kJ/mol of formula units
! - Space group: No. 107
! - ΔE_f: -0.344 eV/atom
! - ρ: 9.29 g cm⁻³
&SYSTEM
  ibrav = 0, nat = 8, ntyp = 3
/
ATOMIC_SPECIES
Nd 144.24 Nd.upf
Tl 204.38 Tl.upf
Pt 195.08 Pt.upf
CELL_PARAMETERS angstrom
7.241 0.000 0.000
0.001 7.241 0.000
-3.621 -3.621 4.517
ATOMIC_POSITIONS crystal
Nd 0.741 0.742 0.483
Nd 0.732 0.732 0.963
Nd 0.732 0.232 0.964
Nd 0.232 0.232 0.963
Nd 0.232 0.732 0.964
Tl 0.733 0.233 0.465
Tl 0.233 0.733 0.465
Pt 0.143 0.143 0.286